# 1
This record from Alexandria via LeMat-Bulk describes Sn2AsPb after structural relaxation. The functional is PBE.

Summary:
* magnetization: 0.000 μB per cell
* polymorph energy (0 for the lowest one): 143 meV per atom
* crystal system: cubic
* symmetry: Fm-3m

Cell lengths 7.4986, 7.4986, 7.4986 Å; angles 90.00, 90.00, 90.00 degrees
With the nearest neighbours (Å) after each atom.
Fractional coordinates of all 16 atoms:
Sn 0.2500 0.2500 0.2500  4 As 3.25, 4 Pb 3.25
Sn 0.2500 0.2500 0.7500  4 As 3.25, 4 Pb 3.25
Sn 0.2500 0.7500 0.2500  4 As 3.25, 4 Pb 3.25
Sn 0.2500 0.7500 0.7500  4 As 3.25, 4 Pb 3.25
Sn 0.7500 0.2500 0.2500  4 As 3.25, 4 Pb 3.25
Sn 0.7500 0.2500 0.7500  4 As 3.25, 4 Pb 3.25
Sn 0.7500 0.7500 0.2500  4 As 3.25, 4 Pb 3.25
Sn 0.7500 0.7500 0.7500  4 As 3.25, 4 Pb 3.25
As 0.0000 0.0000 0.0000  8 Sn 3.25
As 0.0000 0.5000 0.5000  8 Sn 3.25
As 0.5000 0.0000 0.5000  8 Sn 3.25
As 0.5000 0.5000 0.0000  8 Sn 3.25
Pb 0.0000 0.0000 0.5000  8 Sn 3.25
Pb 0.0000 0.5000 0.0000  8 Sn 3.25
Pb 0.5000 0.0000 0.0000  8 Sn 3.25
Pb 0.5000 0.5000 0.5000  8 Sn 3.25

***

# 2
This record from Alexandria via LeMat-Bulk describes SnAsPb after structural relaxation. The functional is PBE.

Summary:
* magnetization: 0.000 μB per cell
* polymorph energy (0 for the lowest one): 15 meV per atom
* crystal system: monoclinic
* symmetry: C2/m

Cell lengths 6.9907, 4.0221, 12.2722 Å; angles 90.00, 100.65, 90.00 degrees
With the nearest neighbours (Å) after each atom.
Fractional coordinates of all 12 atoms:
Sn 0.1323 0.0000 0.4004  3 As 2.82
Sn 0.3677 0.5000 0.5996  3 As 2.82
Sn 0.6323 0.5000 0.4004  3 As 2.82
Sn 0.8677 0.0000 0.5996  3 As 2.82
As 0.2432 0.0000 0.7312  3 Sn 2.82, 3 Pb 3.03-3.04
As 0.2568 0.5000 0.2688  3 Sn 2.82, 3 Pb 3.03-3.04
As 0.7432 0.5000 0.7312  3 Sn 2.82, 3 Pb 3.03-3.04
As 0.7568 0.0000 0.2688  3 Sn 2.82, 3 Pb 3.03-3.04
Pb 0.1273 0.5000 0.8932  3 As 3.03-3.04
Pb 0.3727 0.0000 0.1068  3 As 3.03-3.04
Pb 0.6273 0.0000 0.8932  3 As 3.03-3.04
Pb 0.8727 0.5000 0.1068  3 As 3.03-3.04

***

# 3
This record from Alexandria via LeMat-Bulk describes SnAsPb3 after structural relaxation. The functional is PBE.

Summary:
* magnetization: 0.000 μB per cell
* polymorph energy (0 for the lowest one): 0 meV per atom
* crystal system: cubic
* symmetry: Pm-3m

Cell lengths 5.6074, 5.6074, 5.6074 Å; angles 90.00, 90.00, 90.00 degrees
With the nearest neighbours (Å) after each atom.
Fractional coordinates of all 5 atoms:
Sn 0.0000 0.0000 0.0000  12 Pb 3.97
As 0.5000 0.5000 0.5000  6 Pb 2.80
Pb 0.0000 0.5000 0.5000  2 As 2.80
Pb 0.5000 0.0000 0.5000  2 As 2.80
Pb 0.5000 0.5000 0.0000  2 As 2.80

***

# 4
This record from Alexandria via LeMat-Bulk describes SnAsPb after structural relaxation. The functional is PBE.

Summary:
* magnetization: 0.000 μB per cell
* polymorph energy (0 for the lowest one): 46 meV per atom
* crystal system: tetragonal
* symmetry: I4mm

Cell lengths 3.6807, 3.6807, 11.6020 Å; angles 90.00, 90.00, 90.00 degrees
With the nearest neighbours (Å) after each atom.
Fractional coordinates of all 6 atoms:
Sn 0.0000 0.0000 0.0000  4 As 2.98
Sn 0.5000 0.5000 0.5000  4 As 2.98
As 0.0000 0.0000 0.3757  4 Sn 2.98, 4 Pb 3.24
As 0.5000 0.5000 0.8757  4 Sn 2.98, 4 Pb 3.24
Pb 0.0000 0.0000 0.7088  4 As 3.24, 5 Sn 3.38-3.56
Pb 0.5000 0.5000 0.2088  4 As 3.24, 5 Sn 3.38-3.56

***

# 5
This record from Alexandria via LeMat-Bulk describes Sn2AsPb after structural relaxation. The functional is PBE.

Summary:
* magnetization: 0.000 μB per cell
* polymorph energy (0 for the lowest one): 2 meV per atom
* crystal system: trigonal
* symmetry: R3m

Cell lengths 3.9158, 3.9158, 25.6865 Å; angles 90.00, 90.00, 120.00 degrees
With the nearest neighbours (Å) after each atom.
Fractional coordinates of all 12 atoms:
Sn 0.0000 0.0000 0.0000  3 As 2.84
Sn 0.0000 0.0000 0.1972  3 As 2.88
Sn 0.3333 0.6667 0.6667  3 As 2.84
Sn 0.3333 0.6667 0.8639  3 As 2.88
Sn 0.6667 0.3333 0.3333  3 As 2.84
Sn 0.6667 0.3333 0.5306  3 As 2.88
As 0.0000 0.0000 0.5998  6 Sn 2.84-2.88
As 0.3333 0.6667 0.2664  6 Sn 2.84-2.88
As 0.6667 0.3333 0.9331  6 Sn 2.84-2.88
Pb 0.0000 0.0000 0.7677  6 Sn 3.35-3.44
Pb 0.3333 0.6667 0.4344  6 Sn 3.35-3.44
Pb 0.6667 0.3333 0.1011  6 Sn 3.35-3.44

***

# 6
This record from Alexandria via LeMat-Bulk describes Sn2AsPb after structural relaxation. The functional is PBE.

Summary:
* magnetization: 0.000 μB per cell
* polymorph energy (0 for the lowest one): 99 meV per atom
* crystal system: tetragonal
* symmetry: I-42d

Cell lengths 6.6556, 6.6556, 13.2439 Å; angles 90.00, 90.00, 90.00 degrees
With the nearest neighbours (Å) after each atom.
Fractional coordinates of all 16 atoms:
Sn 0.2215 0.2500 0.1250  2 As 2.77, 2 Pb 2.99
Sn 0.2500 0.7215 0.3750  2 As 2.77, 2 Pb 2.99
Sn 0.2500 0.7785 0.8750  2 As 2.77, 2 Pb 2.99
Sn 0.2785 0.2500 0.6250  2 As 2.77, 2 Pb 2.99
Sn 0.7215 0.7500 0.6250  2 As 2.77, 2 Pb 2.99
Sn 0.7500 0.2215 0.8750  2 As 2.77, 2 Pb 2.99
Sn 0.7500 0.2785 0.3750  2 As 2.77, 2 Pb 2.99
Sn 0.7785 0.7500 0.1250  2 As 2.77, 2 Pb 2.99
As 0.0000 0.0000 0.0000  4 Sn 2.77
As 0.0000 0.5000 0.2500  4 Sn 2.77
As 0.5000 0.0000 0.7500  4 Sn 2.77
As 0.5000 0.5000 0.5000  4 Sn 2.77
Pb 0.0000 0.0000 0.5000  4 Sn 2.99
Pb 0.0000 0.5000 0.7500  4 Sn 2.99
Pb 0.5000 0.0000 0.2500  4 Sn 2.99
Pb 0.5000 0.5000 0.0000  4 Sn 2.99